Density functional theory data (meta-GGA SCAN) for a crystal of KNaIn2Pb relaxed with PBEsol.

The space group is P4/mmm (No. 123) and the conventional cell measures 5.484, 5.484 and 5.429 Å, with angles of 90.00, 90.00 and 90.00 degrees. Symmetry generates all atoms from K at (0.000, 0.000, 0.000), Na at (0.000, 0.000, 0.500), In at (0.000, 0.500, 0.500) and Pb at (0.500, 0.500, 0.000).

Its density is 5.07 Mg/m³. The final energy comes out at -30.696 eV per atom. The calculation puts the formation energy at 0.32 eV/atom.

=====

Density functional theory data (meta-GGA SCAN) for a crystal of SrZnPb relaxed with PBEsol.

The space group is P3m1 (No. 156) and the conventional cell measures 4.5981, 4.5981 and 4.7202 Å, with angles of 90.00, 90.00 and 120.00 degrees. Symmetry generates all atoms from Sr at (0.0000, 0.0000, 0.0000), Zn at (0.3333, 0.6667, 0.5130) and Pb at (0.6667, 0.3333, 0.4945).

Its density is 6.92 Mg/m³. The final energy comes out at -37.744 eV per atom. The calculation puts the formation energy at -0.55 eV/atom.

=====

Density functional theory data (meta-GGA SCAN) for a crystal of RbInCuSi2 relaxed with PBEsol.

The space group is P4/mmm (No. 123) and the conventional cell measures 5.471, 5.471 and 4.993 Å, with angles of 90.00, 90.00 and 90.00 degrees. Symmetry generates all atoms from Rb at (0.000, 0.000, 0.000), In at (0.500, 0.500, 0.500), Cu at (0.000, 0.000, 0.500) and Si at (0.000, 0.500, 0.000).

Its density is 3.56 Mg/m³. For the uncorrected formation energy, the calculation gives 2.137 eV/atom. The final energy comes out at -15.735 eV per atom.

=====

Density functional theory data (meta-GGA SCAN) for a crystal of YHgAu2 relaxed with PBEsol.

The space group is I-4m2 (No. 119) and the conventional cell measures 4.480, 4.480 and 7.985 Å, with angles of 90.00, 90.00 and 90.00 degrees. Symmetry generates all atoms from Y at (0.000, 0.000, 0.000), Hg at (0.000, 0.500, 0.250), Au at (0.000, 0.000, 0.500) and Au at (0.000, 0.500, 0.750).

Its density is 14.16 Mg/m³. The final energy comes out at -59.279 eV per atom. The calculation puts the formation energy at -0.70 eV/atom.

=====

Density functional theory data (meta-GGA SCAN) for a crystal of Zr2InSb relaxed with PBEsol.

The space group is P4mm (No. 99) and the conventional cell measures 3.150, 3.150 and 9.505 Å, with angles of 90.00, 90.00 and 90.00 degrees. Symmetry generates all atoms from Zr at (0.000, 0.000, 0.000), Zr at (0.500, 0.500, 0.236), In at (0.000, 0.000, 0.469) and Sb at (0.500, 0.500, 0.768).

Its density is 7.38 Mg/m³. For the uncorrected formation energy, the calculation gives -0.150 eV/atom. The final energy comes out at -33.161 eV per atom.

=====

Density functional theory data (meta-GGA SCAN) for a crystal of AuCl2 relaxed with PBEsol.

The space group is Fm-3m (No. 225) and the conventional cell measures 6.339, 6.339 and 6.339 Å, with angles of 90.00, 90.00 and 90.00 degrees. Symmetry generates all atoms from Au at (0.000, 0.000, 0.000) and Cl at (0.250, 0.250, 0.250).

Its density is 6.99 Mg/m³. For the uncorrected formation energy, the calculation gives 0.232 eV/atom. The final energy comes out at -28.139 eV per atom.

=====

Density functional theory data (meta-GGA SCAN) for a crystal of Ni2SeBr relaxed with PBEsol.

The space group is Pmmm (No. 47) and the conventional cell measures 3.326, 3.382 and 6.465 Å, with angles of 90.00, 90.00 and 90.00 degrees. Symmetry generates all atoms from Ni at (0.000, 0.000, 0.000), Ni at (0.000, 0.500, 0.500), Se at (0.500, 0.000, 0.500) and Br at (0.500, 0.500, 0.000).

Its density is 6.31 Mg/m³. For the uncorrected formation energy, the calculation gives 0.216 eV/atom. The final energy comes out at -17.755 eV per atom.

=====

Density functional theory data (meta-GGA SCAN) for a crystal of CaCd2Pt relaxed with PBEsol.

The space group is Immm (No. 71) and the conventional cell measures 4.308, 4.321 and 8.438 Å, with angles of 90.00, 90.00 and 90.00 degrees. Symmetry generates all atoms from Ca at (0.000, 0.000, 0.000), Cd at (0.000, 0.500, 0.250) and Pt at (0.000, 0.000, 0.500).

Its density is 9.73 Mg/m³. The final energy comes out at -35.685 eV per atom. The calculation puts the formation energy at -0.51 eV/atom.

=====

Density functional theory data (meta-GGA SCAN) for a crystal of NbSiNF2 relaxed with PBEsol.

The space group is P4/mmm (No. 123) and the conventional cell measures 4.139, 4.139 and 4.045 Å, with angles of 90.00, 90.00 and 90.00 degrees. Symmetry generates all atoms from Nb at (0.000, 0.000, 0.000), Si at (0.500, 0.500, 0.500), N at (0.000, 0.000, 0.500) and F at (0.000, 0.500, 0.000).

Its density is 4.15 Mg/m³. For the uncorrected formation energy, the calculation gives -0.779 eV/atom. The final energy comes out at -12.682 eV per atom.

=====

Density functional theory data (meta-GGA SCAN) for a crystal of SrPtBr2 relaxed with PBEsol.

The space group is P4/mmm (No. 123) and the conventional cell measures 4.792, 4.792 and 3.909 Å, with angles of 90.00, 90.00 and 90.00 degrees. Symmetry generates all atoms from Sr at (0.000, 0.000, 0.000), Pt at (0.500, 0.500, 0.000) and Br at (0.000, 0.500, 0.500).

Its density is 8.19 Mg/m³. For the uncorrected formation energy, the calculation gives -0.718 eV/atom. The final energy comes out at -33.565 eV per atom.

=====

Density functional theory data (meta-GGA SCAN) for a crystal of HfTlMo3 relaxed with PBEsol.

The space group is Pm-3m (No. 221) and the conventional cell measures 4.751, 4.751 and 4.751 Å, with angles of 90.00, 90.00 and 90.00 degrees. Symmetry generates all atoms from Hf at (0.000, 0.000, 0.000), Tl at (0.500, 0.500, 0.500) and Mo at (0.000, 0.000, 0.500).

Its density is 10.39 Mg/m³. The final energy comes out at -46.022 eV per atom. The calculation puts the formation energy at 1.92 eV/atom.

=====

Density functional theory data (meta-GGA SCAN) for a crystal of HoTe3 relaxed with PBEsol.

The space group is Cmcm (No. 63) and the conventional cell measures 4.265, 25.378 and 4.267 Å, with angles of 90.00, 90.00 and 90.00 degrees. Symmetry generates all atoms from Ho at (0.000, 0.170, 0.250), Te at (0.000, 0.074, 0.750), Te at (0.000, 0.294, 0.250) and Te at (0.000, 0.426, 0.750).

Its density is 7.88 Mg/m³. For the uncorrected formation energy, the calculation gives -1.002 eV/atom. The final energy comes out at -41.187 eV per atom.